(1)
# BaCd2W | the Alexandria database | PBE | optimized geometry
# - calculated volume (Å³ per atom) = 23.93
# - ΔH_f (0 K) (eV per atom) = 0.7062
# - E above lowest polymorph (eV/atom) = 0.088
data_BaCd2W
_cell_length_a 4.344
_cell_length_b 4.356
_cell_length_c 10.117
_cell_angle_alpha 90.00
_cell_angle_beta 90.00
_cell_angle_gamma 90.00
_space_group_name_H-M_alt 'C m m 2'
_space_group_IT_number 35
_space_group_name_Hall 'C 2 -2'
loop_
_atom_site_label
_atom_site_fract_x
_atom_site_fract_y
_atom_site_fract_z
Ba1 0.000 0.000 0.000
Cd1 0.000 0.000 0.524
Cd2 0.000 0.500 0.295
W1 0.000 0.500 0.726

(2)
# ZnSbPb2 | the Alexandria database | PBE | optimized geometry
# - calculated volume (Å³ per atom) = 27.42
# - energy relative to the elements, uncorrected (eV per atom) = 0.13
# - E above lowest polymorph (eV/atom) = 0.027
data_ZnSbPb2
_cell_length_a 3.5052
_cell_length_b 3.5052
_cell_length_c 30.9284
_cell_angle_alpha 90.00
_cell_angle_beta 90.00
_cell_angle_gamma 120.00
_space_group_name_H-M_alt 'R 3 m'
_space_group_IT_number 160
_space_group_name_Hall 'R 3 -2"'
loop_
_atom_site_label
_atom_site_fract_x
_atom_site_fract_y
_atom_site_fract_z
Zn1 0.0000 0.0000 0.0000
Sb1 0.0000 0.0000 0.7326
Pb1 0.0000 0.0000 0.2586
Pb2 0.0000 0.0000 0.4913

(3)
# LiCd | the Alexandria database | PBE | optimized geometry
# - calculated volume (Å³ per atom) = 19.00
# - ΔH_f (0 K) (eV per atom) = -0.1907
data_LiCd
_cell_length_a 3.371
_cell_length_b 3.371
_cell_length_c 6.688
_cell_angle_alpha 90.00
_cell_angle_beta 90.00
_cell_angle_gamma 90.00
_space_group_name_H-M_alt 'P 4/n m m'
_space_group_IT_number 129
loop_
_space_group_symop_operation_xyz
'x,y,z'
'-x,-y,-z'
'-y+1/2,x,z'
'y+1/2,-x,-z'
'-x+1/2,-y+1/2,z'
'x+1/2,y+1/2,-z'
'y,-x+1/2,z'
'-y,x+1/2,-z'
'x+1/2,-y,-z'
'-x+1/2,y,z'
'-y,-x,-z'
'y,x,z'
'-x,y+1/2,-z'
'x,-y+1/2,z'
'y+1/2,x+1/2,-z'
'-y+1/2,-x+1/2,z'
loop_
_atom_site_label
_atom_site_fract_x
_atom_site_fract_y
_atom_site_fract_z
Li1 0.250 0.250 0.122
Cd1 0.250 0.250 0.647

(4)
# PmGd2Ho | the Alexandria database | PBE | optimized geometry
# - calculated volume (Å³ per atom) = 32.54
# - ΔH_f (0 K) (eV per atom) = 0.0255
# - E above lowest polymorph (eV/atom) = 0.004
data_PmGd2Ho
_cell_length_a 3.585
_cell_length_b 3.585
_cell_length_c 10.129
_cell_angle_alpha 90.00
_cell_angle_beta 90.00
_cell_angle_gamma 90.00
_space_group_name_H-M_alt 'P 4/m m m'
_space_group_IT_number 123
_space_group_name_Hall '-P 4 2'
loop_
_atom_site_label
_atom_site_fract_x
_atom_site_fract_y
_atom_site_fract_z
Pm1 0.000 0.000 0.000
Gd1 0.500 0.500 0.254
Ho1 0.000 0.000 0.500

(5)
# CsMg2SbBr8 | the Alexandria database | PBE | optimized geometry
# - calculated volume (Å³ per atom) = 38.96
# - energy relative to the elements, uncorrected (eV per atom) = -1.19
data_CsMg2SbBr8
_cell_length_a 6.9649
_cell_length_b 6.9649
_cell_length_c 33.3857
_cell_angle_alpha 90.00
_cell_angle_beta 90.00
_cell_angle_gamma 120.00
_space_group_name_H-M_alt 'R -3'
_space_group_IT_number 148
_space_group_name_Hall '-R 3'
loop_
_atom_site_label
_atom_site_fract_x
_atom_site_fract_y
_atom_site_fract_z
Cs1 0.0000 0.0000 0.0000
Mg1 0.0000 0.0000 0.2405
Sb1 0.0000 0.0000 0.5000
Br1 0.0000 0.0000 0.3138
Br2 0.0050 0.3516 0.7832

(6)
# Ta4CuRu | the Alexandria database | PBE | optimized geometry
# - calculated volume (Å³ per atom) = 17.80
# - ΔH_f (0 K) (eV per atom) = 0.5398
data_Ta4CuRu
_cell_length_a 7.532
_cell_length_b 7.532
_cell_length_c 7.532
_cell_angle_alpha 90.00
_cell_angle_beta 90.00
_cell_angle_gamma 90.00
_space_group_name_H-M_alt 'F -4 3 m'
_space_group_IT_number 216
_space_group_name_Hall 'F -4 2 3'
loop_
_atom_site_label
_atom_site_fract_x
_atom_site_fract_y
_atom_site_fract_z
Ta1 0.124 0.124 0.376
Cu1 0.000 0.000 0.000
Ru1 0.250 0.250 0.750

(7)
# InBi2Rh2 | the Alexandria database | PBE | optimized geometry
# - calculated volume (Å³ per atom) = 21.75
# - ΔH_f (0 K) (eV per atom) = -0.0708
# - E above lowest polymorph (eV/atom) = 0.000
data_InBi2Rh2
_cell_length_a 7.314
_cell_length_b 7.314
_cell_length_c 4.066
_cell_angle_alpha 90.00
_cell_angle_beta 90.00
_cell_angle_gamma 90.00
_space_group_name_H-M_alt 'P 4/m b m'
_space_group_IT_number 127
_space_group_name_Hall '-P 4 2ab'
loop_
_atom_site_label
_atom_site_fract_x
_atom_site_fract_y
_atom_site_fract_z
In1 0.000 0.000 0.000
Bi1 0.158 0.342 0.500
Rh1 0.143 0.643 0.000

(8)
# Li6FeS4 | the Alexandria database | PBE | optimized geometry
# - calculated volume (Å³ per atom) = 16.23
# - energy relative to the elements, uncorrected (eV per atom) = -1.07
# - E above lowest polymorph (eV/atom) = 0.029
data_Li6FeS4
_cell_length_a 8.0859
_cell_length_b 8.0859
_cell_length_c 6.3046
_cell_angle_alpha 90.00
_cell_angle_beta 90.00
_cell_angle_gamma 120.00
_space_group_name_H-M_alt 'P 63 m c'
_space_group_IT_number 186
_space_group_name_Hall 'P 6c -2c'
loop_
_atom_site_label
_atom_site_fract_x
_atom_site_fract_y
_atom_site_fract_z
Li1 0.0778 0.5389 0.0000
Li2 0.1515 0.3031 0.6433
Fe1 0.3333 0.6667 0.3702
S1 0.1780 0.3561 0.2508
S2 0.3333 0.6667 0.7353

(9)
# LaAgPCl2 | the Alexandria database | PBE | optimized geometry
# - calculated volume (Å³ per atom) = 35.50
# - energy relative to the elements, uncorrected (eV per atom) = -0.64
# - E above lowest polymorph (eV/atom) = 0.000
data_LaAgPCl2
_cell_length_a 5.460
_cell_length_b 5.460
_cell_length_c 5.955
_cell_angle_alpha 90.00
_cell_angle_beta 90.00
_cell_angle_gamma 90.00
_space_group_name_H-M_alt 'P 4/m m m'
_space_group_IT_number 123
_space_group_name_Hall '-P 4 2'
loop_
_atom_site_label
_atom_site_fract_x
_atom_site_fract_y
_atom_site_fract_z
La1 0.000 0.000 0.000
Ag1 0.500 0.500 0.500
P1 0.000 0.000 0.500
Cl1 0.000 0.500 0.000

(10)
# Th2NiSnC | the Alexandria database | PBE | optimized geometry
# - calculated volume (Å³ per atom) = 22.21
# - ΔH_f (0 K) (eV per atom) = -0.4897
data_Th2NiSnC
_cell_length_a 6.780
_cell_length_b 3.918
_cell_length_c 8.760
_cell_angle_alpha 90.00
_cell_angle_beta 107.37
_cell_angle_gamma 90.00
_space_group_name_H-M_alt 'P 1 21/m 1'
_space_group_IT_number 11
_space_group_name_Hall '-P 2yb'
loop_
_atom_site_label
_atom_site_fract_x
_atom_site_fract_y
_atom_site_fract_z
Th1 0.214 0.250 0.368
Th2 0.217 0.250 0.968
Ni1 0.446 0.750 0.234
Sn1 0.293 0.750 0.684
C1 0.151 0.750 0.159

(11)
# CsSiNO2 | the Alexandria database | PBE | optimized geometry
# - calculated volume (Å³ per atom) = 11.78
# - energy relative to the elements, uncorrected (eV per atom) = -0.51
data_CsSiNO2
_cell_length_a 3.596
_cell_length_b 3.596
_cell_length_c 4.554
_cell_angle_alpha 90.00
_cell_angle_beta 90.00
_cell_angle_gamma 90.00
_space_group_name_H-M_alt 'P 4/m m m'
_space_group_IT_number 123
_space_group_name_Hall '-P 4 2'
loop_
_atom_site_label
_atom_site_fract_x
_atom_site_fract_y
_atom_site_fract_z
Cs1 0.000 0.000 0.000
Si1 0.500 0.500 0.500
N1 0.500 0.500 0.000
O1 0.000 0.500 0.500

(12)
# CuAgPd2Br | the Alexandria database | PBE | optimized geometry
# - calculated volume (Å³ per atom) = 21.42
# - energy relative to the elements, uncorrected (eV per atom) = 0.59
data_CuAgPd2Br
_cell_length_a 4.703
_cell_length_b 4.703
_cell_length_c 4.843
_cell_angle_alpha 90.00
_cell_angle_beta 90.00
_cell_angle_gamma 90.00
_space_group_name_H-M_alt 'P 4/m m m'
_space_group_IT_number 123
_space_group_name_Hall '-P 4 2'
loop_
_atom_site_label
_atom_site_fract_x
_atom_site_fract_y
_atom_site_fract_z
Cu1 0.000 0.000 0.000
Ag1 0.000 0.000 0.500
Pd1 0.000 0.500 0.000
Br1 0.500 0.500 0.500

(13)
# TlTcP | the Alexandria database | PBE | optimized geometry
# - calculated volume (Å³ per atom) = 18.65
# - ΔH_f (0 K) (eV per atom) = 0.0444
# - E above lowest polymorph (eV/atom) = 0.000
data_TlTcP
_cell_length_a 3.1700
_cell_length_b 3.1700
_cell_length_c 6.4302
_cell_angle_alpha 90.00
_cell_angle_beta 90.00
_cell_angle_gamma 120.00
_space_group_name_H-M_alt 'P 3 m 1'
_space_group_IT_number 156
_space_group_name_Hall 'P 3 -2"'
loop_
_atom_site_label
_atom_site_fract_x
_atom_site_fract_y
_atom_site_fract_z
Tl1 0.0000 0.0000 0.0000
Tc1 0.6667 0.3333 0.6311
P1 0.3333 0.6667 0.4052

(14)
# K3Pm2YO6 | the Alexandria database | PBE | optimized geometry
# - calculated volume (Å³ per atom) = 17.36
# - energy relative to the elements, uncorrected (eV per atom) = -2.68
data_K3Pm2YO6
_cell_length_a 6.185
_cell_length_b 10.714
_cell_length_c 6.618
_cell_angle_alpha 90.00
_cell_angle_beta 108.15
_cell_angle_gamma 90.00
_space_group_name_H-M_alt 'C 1 2/m 1'
_space_group_IT_number 12
_space_group_name_Hall '-C 2y'
loop_
_atom_site_label
_atom_site_fract_x
_atom_site_fract_y
_atom_site_fract_z
K1 0.000 0.000 0.000
K2 0.000 0.335 0.000
Pm1 0.000 0.167 0.500
Y1 0.000 0.500 0.500
O1 0.226 0.337 0.689
O2 0.237 0.000 0.688

(15)
# Dy3Y2ErSe6 | the Alexandria database | PBE | optimized geometry
# - calculated volume (Å³ per atom) = 23.87
# - energy relative to the elements, uncorrected (eV per atom) = -1.74
data_Dy3Y2ErSe6
_cell_length_a 17.739
_cell_length_b 4.062
_cell_length_c 8.175
_cell_angle_alpha 90.00
_cell_angle_beta 103.45
_cell_angle_gamma 90.00
_space_group_name_H-M_alt 'C 1 2/m 1'
_space_group_IT_number 12
_space_group_name_Hall '-C 2y'
loop_
_atom_site_label
_atom_site_fract_x
_atom_site_fract_y
_atom_site_fract_z
Dy1 0.000 0.000 0.000
Dy2 0.168 0.500 0.333
Y1 0.168 0.500 0.835
Er1 0.000 0.000 0.500
Se1 0.001 0.500 0.253
Se2 0.165 0.000 0.582
Se3 0.166 0.000 0.084

(16)
# TbZrTlAu | the Alexandria database | PBE | optimized geometry
# - calculated volume (Å³ per atom) = 23.64
# - ΔH_f (0 K) (eV per atom) = -0.3301
data_TbZrTlAu
_cell_length_a 7.232
_cell_length_b 7.232
_cell_length_c 7.232
_cell_angle_alpha 90.00
_cell_angle_beta 90.00
_cell_angle_gamma 90.00
_space_group_name_H-M_alt 'F -4 3 m'
_space_group_IT_number 216
_space_group_name_Hall 'F -4 2 3'
loop_
_atom_site_label
_atom_site_fract_x
_atom_site_fract_y
_atom_site_fract_z
Tb1 0.000 0.000 0.000
Zr1 0.000 0.000 0.500
Tl1 0.250 0.250 0.250
Au1 0.250 0.250 0.750

(17)
# FeNi3Pt4 | the Alexandria database | PBE | optimized geometry
# - calculated volume (Å³ per atom) = 13.63
# - ΔH_f (0 K) (eV per atom) = -0.1683
# - E above lowest polymorph (eV/atom) = 0.000
data_FeNi3Pt4
_cell_length_a 3.858
_cell_length_b 3.858
_cell_length_c 14.652
_cell_angle_alpha 90.00
_cell_angle_beta 90.00
_cell_angle_gamma 90.00
_space_group_name_H-M_alt 'I 4/m m m'
_space_group_IT_number 139
_space_group_name_Hall '-I 4 2'
loop_
_atom_site_label
_atom_site_fract_x
_atom_site_fract_y
_atom_site_fract_z
Fe1 0.000 0.000 0.000
Ni1 0.000 0.000 0.252
Ni2 0.000 0.000 0.500
Pt1 0.000 0.500 0.125

(18)
# SbWCl2 | the Alexandria database | PBE | optimized geometry
# - calculated volume (Å³ per atom) = 28.20
# - energy relative to the elements, uncorrected (eV per atom) = -0.11
# - E above lowest polymorph (eV/atom) = 0.019
data_SbWCl2
_cell_length_a 5.516
_cell_length_b 13.523
_cell_length_c 3.025
_cell_angle_alpha 90.00
_cell_angle_beta 90.00
_cell_angle_gamma 90.00
_space_group_name_H-M_alt 'C m m m'
_space_group_IT_number 65
_space_group_name_Hall '-C 2 2'
loop_
_atom_site_label
_atom_site_fract_x
_atom_site_fract_y
_atom_site_fract_z
Sb1 0.000 0.000 0.000
W1 0.000 0.500 0.000
Cl1 0.000 0.358 0.500

(19)
# K2TeS4 | the Alexandria database | PBE | optimized geometry
# - calculated volume (Å³ per atom) = 27.70
# - energy relative to the elements, uncorrected (eV per atom) = -0.34
# - E above lowest polymorph (eV/atom) = 0.166
data_K2TeS4
_cell_length_a 8.325
_cell_length_b 12.010
_cell_length_c 3.879
_cell_angle_alpha 90.00
_cell_angle_beta 90.00
_cell_angle_gamma 90.00
_space_group_name_H-M_alt 'P b a m'
_space_group_IT_number 55
_space_group_name_Hall '-P 2 2ab'
loop_
_atom_site_label
_atom_site_fract_x
_atom_site_fract_y
_atom_site_fract_z
K1 0.080 0.170 0.000
Te1 0.000 0.500 0.500
S1 0.127 0.682 0.500
S2 0.195 0.435 0.000

(20)
# AlBiN3 | the Alexandria database | PBE | optimized geometry
# - calculated volume (Å³ per atom) = 11.68
# - energy relative to the elements, uncorrected (eV per atom) = 0.75
data_AlBiN3
_cell_length_a 3.879
_cell_length_b 3.879
_cell_length_c 3.879
_cell_angle_alpha 90.00
_cell_angle_beta 90.00
_cell_angle_gamma 90.00
_space_group_name_H-M_alt 'P m -3 m'
_space_group_IT_number 221
_space_group_name_Hall '-P 4 2 3'
loop_
_atom_site_label
_atom_site_fract_x
_atom_site_fract_y
_atom_site_fract_z
Al1 0.000 0.000 0.000
Bi1 0.500 0.500 0.500
N1 0.000 0.000 0.500

(21)
# Ca2AgOsSe | the Alexandria database | PBE | optimized geometry
# - calculated volume (Å³ per atom) = 30.15
# - energy relative to the elements, uncorrected (eV per atom) = 0.56
data_Ca2AgOsSe
_cell_length_a 5.573
_cell_length_b 5.573
_cell_length_c 4.853
_cell_angle_alpha 90.00
_cell_angle_beta 90.00
_cell_angle_gamma 90.00
_space_group_name_H-M_alt 'P 4/m m m'
_space_group_IT_number 123
_space_group_name_Hall '-P 4 2'
loop_
_atom_site_label
_atom_site_fract_x
_atom_site_fract_y
_atom_site_fract_z
Ca1 0.000 0.500 0.000
Ag1 0.000 0.000 0.000
Os1 0.000 0.000 0.500
Se1 0.500 0.500 0.500

(22)
# CsMnGaI4 | the Alexandria database | PBE | optimized geometry
# - calculated volume (Å³ per atom) = 47.48
# - energy relative to the elements, uncorrected (eV per atom) = -0.73
data_CsMnGaI4
_cell_length_a 7.239
_cell_length_b 8.354
_cell_length_c 11.003
_cell_angle_alpha 90.00
_cell_angle_beta 92.76
_cell_angle_gamma 90.00
_space_group_name_H-M_alt 'P 1 21/m 1'
_space_group_IT_number 11
_space_group_name_Hall '-P 2yb'
loop_
_atom_site_label
_atom_site_fract_x
_atom_site_fract_y
_atom_site_fract_z
Cs1 0.239 0.250 0.368
Mn1 0.404 0.250 0.781
Ga1 0.261 0.750 0.928
I1 0.226 0.750 0.218
I2 0.271 0.514 0.669
I3 0.321 0.250 0.020

(23)
# Ac3La5Pm2 | the Alexandria database | PBE | optimized geometry
# - calculated volume (Å³ per atom) = 38.98
# - ΔH_f (0 K) (eV per atom) = 0.1363
data_Ac3La5Pm2
_cell_length_a 11.876
_cell_length_b 16.801
_cell_length_c 9.805
_cell_angle_alpha 90.00
_cell_angle_beta 127.16
_cell_angle_gamma 90.00
_space_group_name_H-M_alt 'C 1 2/c 1'
_space_group_IT_number 15
_space_group_name_Hall '-C 2yc'
loop_
_atom_site_label
_atom_site_fract_x
_atom_site_fract_y
_atom_site_fract_z
Ac1 0.000 0.028 0.250
Ac2 0.249 0.129 0.753
La1 0.000 0.228 0.250
La2 0.000 0.286 0.750
La3 0.000 0.475 0.750
La4 0.152 0.374 0.557
Pm1 0.147 0.133 0.043

(24)
# TcHI2O | the Alexandria database | PBE | optimized geometry
# - calculated volume (Å³ per atom) = 23.44
# - E above lowest polymorph (eV/atom) = 0.000
data_TcHI2O
_cell_length_a 5.601
_cell_length_b 5.601
_cell_length_c 3.735
_cell_angle_alpha 90.00
_cell_angle_beta 90.00
_cell_angle_gamma 90.00
_space_group_name_H-M_alt 'P 4/m m m'
_space_group_IT_number 123
_space_group_name_Hall '-P 4 2'
loop_
_atom_site_label
_atom_site_fract_x
_atom_site_fract_y
_atom_site_fract_z
Tc1 0.000 0.000 0.000
H1 0.500 0.500 0.500
I1 0.000 0.500 0.000
O1 0.000 0.000 0.500

no.,uncorrected energy (eV per atom),M_tot (μB per formula unit)
1,-3.47,0.0
2,-3.07,0.0
3,-1.61,0.0
4,-9.35,14.4
5,-2.99,0.0
6,-9.59,0.0
7,-5.11,0.0
8,-4.38,4.0
9,-4.01,1.0
10,-7.26,0.0
11,-5.41,0.0
12,-3.21,0.0
13,-6.00,0.0
14,-6.76,0.0
15,-6.10,0.0
16,-5.04,1.0
17,-6.41,7.2
18,-5.30,0.0
19,-3.46,0.0
20,-5.77,2.3
21,-3.75,2.0
22,-3.48,5.0
23,-4.51,0.0
24,-4.20,0.2